Compound: Cs2TiBi2
Source: Alexandria
Functional: PBE
Structure: relaxed

Results
energy of formation from the pure elements	-3.01	kJ per mole of atoms
volume	398.5	Å³ per cell

Unit cell a=7.769 b=7.769 c=6.603 alpha=90.00 beta=90.00 gamma=90.00
Site moments in Bohr magnetons follow the coordinates.
Atoms (fractional coordinates):
Bi (0.648, 0.148, 0.000)  -0.01
Cs (0.669, 0.831, 0.500)  0.01
Ti (0.500, 0.500, 0.000)  1.40
Bi (0.352, 0.852, 0.000)  -0.01
Cs (0.169, 0.669, 0.500)  0.01
Bi (0.852, 0.648, 0.000)  -0.03
Bi (0.148, 0.352, 0.000)  -0.03
Cs (0.331, 0.169, 0.500)  0.01
Ti (0.000, 0.000, 0.000)  1.40
Cs (0.831, 0.331, 0.500)  0.01